# RbTcP2Cl

A relaxed RbTcP2Cl crystal (PBE, Alexandria via LeMat-Bulk).

Structure (extended XYZ):
```
5
Lattice="5.2611 0.0000 0.0000 0.0000 5.2611 0.0000 0.0000 0.0000 5.3625" Properties=species:S:1:pos:R:3 pbc="T T T"
Rb 0.0000 0.0000 0.0000
Tc 2.6306 2.6306 2.6813
P 0.0000 2.6306 0.0000
P 2.6306 0.0000 0.0000
Cl 0.0000 0.0000 2.6813
```

Properties
As for the space group: No. 123. The value obtained for the uncorrected formation energy is 2.401 eV per atom. Its energy relative to the lowest polymorph listed for this composition is 2688 meV per atom. The density of states at the Fermi level is 3.2542 states/eV per atom.